Entry 1:
Density functional theory data (PBE-GGA) for an optimized crystal structure of MgH3N.

Energy relative to the lowest polymorph listed for this composition in eV per formula unit: 0.00
VASP energy in eV/atom: -3.0458

Cell lengths 3.2700, 3.2700, 3.2700 Å; angles 90.00, 90.00, 90.00 degrees
Space group Pm-3m (No. 221)
Asymmetric unit:
Mg (0.0000, 0.0000, 0.0000)
H (0.0000, 0.5000, 0.5000)
N (0.5000, 0.5000, 0.5000)

Entry 2:
Density functional theory data (PBE-GGA) for an optimized crystal structure of Mg2HN.

Energy relative to the lowest polymorph listed for this composition in eV per formula unit: 0.07
VASP energy in eV/atom: -4.2561

Cell lengths 3.2324, 3.2324, 5.2740 Å; angles 90.00, 90.00, 120.00 degrees
Space group P3m1 (No. 156)
Asymmetric unit:
Mg (0.0000, 0.0000, 0.0000)
Mg (0.3333, 0.6667, 0.6118)
H (0.0000, 0.0000, 0.3673)
N (0.6667, 0.3333, 0.8188)

Entry 3:
Density functional theory data (PBE-GGA) for an optimized crystal structure of Mg2HN.

Energy relative to the lowest polymorph listed for this composition in eV per formula unit: 0.49
VASP energy in eV/atom: -4.1509

Cell lengths 3.1838, 3.1838, 16.4632 Å; angles 90.00, 90.00, 120.00 degrees
Space group R3m (No. 160, hexagonal axes)
Asymmetric unit:
Mg (0.0000, 0.0000, 0.0000)
Mg (0.0000, 0.0000, 0.2068)
H (0.0000, 0.0000, 0.7885)
N (0.0000, 0.0000, 0.6074)

Entry 4:
Density functional theory data (PBE-GGA) for an optimized crystal structure of Mg2HN.

Energy relative to the lowest polymorph listed for this composition in eV per formula unit: 0.54
VASP energy in eV/atom: -4.1381

Cell lengths 5.5323, 3.3421, 10.8645 Å; angles 90.00, 97.06, 90.00 degrees
Space group Cm (No. 8)
Asymmetric unit:
Mg (0.0000, 0.0000, 0.0000)
Mg (0.0322, 0.5000, 0.4675)
Mg (0.2488, 0.0000, 0.7080)
Mg (0.3190, 0.5000, 0.2773)
H (0.0115, 0.5000, 0.1226)
H (0.2922, 0.0000, 0.8831)
N (0.1752, 0.0000, 0.3764)
N (0.1793, 0.5000, 0.0889)

Entry 5:
Density functional theory data (PBE-GGA) for an optimized crystal structure of MgHN.

Energy relative to the lowest polymorph listed for this composition in eV per formula unit: 1.13
VASP energy in eV/atom: -4.6701

Cell lengths 2.6915, 5.7957, 5.7356 Å; angles 90.00, 90.00, 90.00 degrees
Space group Cmcm (No. 63)
Asymmetric unit:
Mg (0.0000, 0.0000, 0.0000)
H (0.0000, 0.2410, 0.2500)
N (0.0000, 0.3064, 0.7500)

Entry 6:
Density functional theory data (PBE-GGA) for an optimized crystal structure of Mg2HN.

Energy relative to the lowest polymorph listed for this composition in eV per formula unit: 1.49
VASP energy in eV/atom: -3.9016

Cell lengths 5.3430, 5.3430, 5.3430 Å; angles 90.00, 90.00, 90.00 degrees
Space group Fm-3m (No. 225)
Asymmetric unit:
Mg (0.2500, 0.2500, 0.2500)
H (0.0000, 0.0000, 0.0000)
N (0.0000, 0.0000, 0.5000)

Entry 7:
Density functional theory data (PBE-GGA) for an optimized crystal structure of MgH4N2.

VASP energy in eV/atom: -5.0780

Cell lengths 10.5378, 10.5378, 20.3942 Å; angles 90.00, 90.00, 90.00 degrees
Space group I4_1/acd (No. 142, origin choice 2)
Asymmetric unit:
Mg (0.1080, 0.1229, 0.3132)
H (0.0331, 0.0416, 0.0975)
H (0.0499, 0.1924, 0.5240)
H (0.0759, 0.0313, 0.6522)
H (0.1946, 0.0206, 0.4729)
N (0.0000, 0.2500, 0.2574)
N (0.0166, 0.0242, 0.8757)
N (0.2100, 0.0000, 0.2500)

Entry 8:
Density functional theory data (PBE-GGA) for an optimized crystal structure of Mg2HN.

Energy relative to the lowest polymorph listed for this composition in eV per formula unit: 0.58
VASP energy in eV/atom: -4.1287

Cell lengths 5.5973, 3.3782, 10.7006 Å; angles 90.00, 92.97, 90.00 degrees
Space group Cm (No. 8)
Asymmetric unit:
Mg (0.0000, 0.0000, 0.0000)
Mg (0.0420, 0.0000, 0.4387)
Mg (0.2169, 0.5000, 0.7247)
Mg (0.3535, 0.0000, 0.1911)
H (0.2218, 0.5000, 0.5457)
H (0.2313, 0.0000, 0.8440)
N (0.0629, 0.0000, 0.7986)
N (0.1751, 0.5000, 0.0895)